Record 1
Compound: Ce6Ga3Pb
Source: the Alexandria database
Functional: PBE-GGA
Structure: optimized geometry

Geometry as CIF:
```
data_Ce6Ga3Pb
_chemical_formula_sum 'Ce12 Ga6 Pb2'
_symmetry_space_group_name_H-M 'P 1 21/c 1'
_symmetry_Int_Tables_number 14
_cell_length_a 8.0221
_cell_length_b 7.7399
_cell_length_c 10.7886
_cell_angle_alpha 90.00
_cell_angle_beta 130.15
_cell_angle_gamma 90.00
loop_
_symmetry_equiv_pos_as_xyz
'x,y,z'
'-x,-y,-z'
'-x,y+1/2,-z+1/2'
'x,-y+1/2,z+1/2'
loop_
_atom_site_label
_atom_site_fract_x
_atom_site_fract_y
_atom_site_fract_z
Ce1 0.0389 0.1659 0.3243
Ce2 0.2842 0.1815 0.6582
Ce3 0.3917 0.6127 0.8602
Ga1 0.0000 0.0000 0.0000
Ga2 0.2248 0.6916 0.0391
Pb1 0.5000 0.0000 0.0000
```

E_tot = -101.39 eV per cell
Energy relative to the elements = -230 meV/atom
Density of states at the Fermi level = 2.464 states/eV/atom

---

Record 2
Compound: Ce2GaPb
Source: the Alexandria database
Functional: PBE-GGA
Structure: optimized geometry

Geometry as CIF:
```
data_Ce2GaPb
_chemical_formula_sum 'Ce8 Ga4 Pb4'
_symmetry_space_group_name_H-M 'C m c m'
_symmetry_Int_Tables_number 63
_symmetry_space_group_name_Hall '-C 2c 2'
_cell_length_a 9.6329
_cell_length_b 7.8282
_cell_length_c 5.6120
_cell_angle_alpha 90.00
_cell_angle_beta 90.00
_cell_angle_gamma 90.00
loop_
_atom_site_label
_atom_site_fract_x
_atom_site_fract_y
_atom_site_fract_z
Ce1 0.1947 0.1917 0.2500
Ga1 0.0000 0.5000 0.0000
Pb1 0.0000 0.1531 0.7500
```

Offset from the most stable computed form = 0.45 eV per formula unit
E_tot = -79.63 eV per cell
Energy relative to the elements = -326 meV/atom
Density of states at the Fermi level = 2.799 states/eV/atom

---

Record 3
Compound: Ce7Ga5Pb
Source: the Alexandria database
Functional: PBE-GGA
Structure: optimized geometry

Geometry as CIF:
```
data_Ce7Ga5Pb
_chemical_formula_sum 'Ce14 Ga10 Pb2'
_symmetry_space_group_name_H-M 'I m m 2'
_symmetry_Int_Tables_number 44
_cell_length_a 5.9841
_cell_length_b 10.3499
_cell_length_c 10.5896
_cell_angle_alpha 90.00
_cell_angle_beta 90.00
_cell_angle_gamma 90.00
loop_
_symmetry_equiv_pos_as_xyz
'x,y,z'
'-x,-y,z'
'-x,y,z'
'x,-y,z'
'x+1/2,y+1/2,z+1/2'
'-x+1/2,-y+1/2,z+1/2'
'-x+1/2,y+1/2,z+1/2'
'x+1/2,-y+1/2,z+1/2'
loop_
_atom_site_label
_atom_site_fract_x
_atom_site_fract_y
_atom_site_fract_z
Ce1 0.0000 0.0000 0.0000
Ce2 0.0000 0.0000 0.3416
Ce3 0.0000 0.3300 0.6598
Ce4 0.0000 0.3306 0.1419
Ce5 0.0000 0.5000 0.3465
Ga1 0.0000 0.5000 0.8991
Ga2 0.2504 0.2504 0.4041
Pb1 0.0000 0.0000 0.6627
```

E_tot = -129.28 eV per cell
Energy relative to the elements = -328 meV/atom
Density of states at the Fermi level = 2.491 states/eV/atom

---

Record 4
Compound: Ce5Ga2Pb2
Source: the Alexandria database
Functional: PBE-GGA
Structure: optimized geometry

Geometry as CIF:
```
data_Ce5Ga2Pb2
_chemical_formula_sum 'Ce20 Ga8 Pb8'
_symmetry_space_group_name_H-M 'C m c e'
_symmetry_Int_Tables_number 64
_symmetry_space_group_name_Hall '-C 2ac 2'
_cell_length_a 15.7508
_cell_length_b 8.1271
_cell_length_c 8.1071
_cell_angle_alpha 90.00
_cell_angle_beta 90.00
_cell_angle_gamma 90.00
loop_
_atom_site_label
_atom_site_fract_x
_atom_site_fract_y
_atom_site_fract_z
Ce1 0.0000 0.0000 0.0000
Ce2 0.1286 0.1866 0.3178
Ga1 0.0000 0.1127 0.6152
Pb1 0.2177 0.0000 0.0000
```

E_tot = -186.23 eV per cell
Energy relative to the elements = -380 meV/atom
Density of states at the Fermi level = 2.560 states/eV/atom

---

Record 5
Compound: Ce6GaPb
Source: the Alexandria database
Functional: PBE-GGA
Structure: optimized geometry

Geometry as CIF:
```
data_Ce6GaPb
_chemical_formula_sum 'Ce12 Ga2 Pb2'
_symmetry_space_group_name_H-M 'C 1 2/m 1'
_symmetry_Int_Tables_number 12
_cell_length_a 7.0062
_cell_length_b 10.9438
_cell_length_c 6.4952
_cell_angle_alpha 90.00
_cell_angle_beta 119.79
_cell_angle_gamma 90.00
loop_
_symmetry_equiv_pos_as_xyz
'x,y,z'
'-x,-y,-z'
'-x,y,-z'
'x,-y,z'
'x+1/2,y+1/2,z'
'-x+1/2,-y+1/2,-z'
'-x+1/2,y+1/2,-z'
'x+1/2,-y+1/2,z'
loop_
_atom_site_label
_atom_site_fract_x
_atom_site_fract_y
_atom_site_fract_z
Ce1 0.0091 0.0000 0.2169
Ce2 0.0541 0.2574 0.2917
Ga1 0.0000 0.5000 0.5000
Pb1 0.0000 0.5000 0.0000
```

E_tot = -83.80 eV per cell
Energy relative to the elements = 55 meV/atom
Density of states at the Fermi level = 2.628 states/eV/atom

---

Record 6
Compound: Ce5Ga4Pb
Source: the Alexandria database
Functional: PBE-GGA
Structure: optimized geometry

Geometry as CIF:
```
data_Ce5Ga4Pb
_chemical_formula_sum 'Ce5 Ga4 Pb1'
_symmetry_space_group_name_H-M 'P 4/m m m'
_symmetry_Int_Tables_number 123
_symmetry_space_group_name_Hall '-P 4 2'
_cell_length_a 3.3377
_cell_length_b 3.3377
_cell_length_c 21.6992
_cell_angle_alpha 90.00
_cell_angle_beta 90.00
_cell_angle_gamma 90.00
loop_
_atom_site_label
_atom_site_fract_x
_atom_site_fract_y
_atom_site_fract_z
Ce1 0.0000 0.0000 0.0000
Ce2 0.0000 0.0000 0.1934
Ce3 0.0000 0.0000 0.3843
Ga1 0.5000 0.5000 0.0966
Ga2 0.5000 0.5000 0.2901
Pb1 0.5000 0.5000 0.5000
```

E_tot = -50.16 eV per cell
Energy relative to the elements = -468 meV/atom
Density of states at the Fermi level = 1.829 states/eV/atom